Entry 1:
# CsNa12Hg5

An optimized crystal structure of CsNa12Hg5 (PBE-GGA, the Alexandria database).

Output
The calculated total energy is -1.117 eV per atom. For the formation energy from the elements, the calculation gives -10 kJ per mole of atoms. Its space group is Immm, No. 71.

a b c (Å): 9.421 9.421 9.421
angles (deg): 96.74 113.26 119.20
Positions (direct):
Na 0.091 0.825 0.266
Na 0.803 0.583 0.779
Na 0.803 0.024 0.221
Na 0.909 0.175 0.734
Na 0.197 0.976 0.779
Na 0.686 0.309 0.995
Na 0.441 0.175 0.266
Na 0.314 0.691 0.005
Na 0.197 0.417 0.221
Na 0.559 0.825 0.734
Na 0.686 0.691 0.376
Na 0.314 0.309 0.624
Hg 0.000 0.000 0.000
Hg 0.500 0.118 0.618
Hg 0.500 0.882 0.382
Hg 0.653 0.653 0.000
Hg 0.347 0.347 0.000
Cs 0.000 0.500 0.500

---

Entry 2:
# LaSc2Al

An optimized crystal structure of LaSc2Al (PBE-GGA, the Alexandria database).

Output
The calculated total energy is -5.401 eV per atom. For the formation energy from the elements, the calculation gives -7 kJ per mole of atoms. Its space group is Fmmm, No. 69.

a b c (Å): 5.669 5.669 5.664
angles (deg): 131.59 131.59 70.90
Positions (direct):
Sc 0.000 0.000 0.000
Sc 0.500 0.500 0.000
Al 0.250 0.750 0.500
La 0.750 0.250 0.500

---

Entry 3:
# UVAs2

An optimized crystal structure of UVAs2 (PBE-GGA, the Alexandria database).

Output
The calculated total energy is -7.933 eV per atom. For the formation energy from the elements, the calculation gives -49 kJ per mole of atoms. Its space group is R-3m, No. 166.

a b c (Å): 3.942 3.942 6.383
angles (deg): 72.01 72.01 60.00
Site moments in Bohr magnetons follow the coordinates.
Positions (direct):
U 0.500 0.500 0.500  2.08
As 0.737 0.737 0.789  -0.08
As 0.263 0.263 0.211  -0.08
V 0.000 0.000 0.000  1.74

---

Entry 4:
# VGaPt2

An optimized crystal structure of VGaPt2 (PBE-GGA, the Alexandria database).

Output
The calculated total energy is -6.507 eV per atom. For the formation energy from the elements, the calculation gives -43 kJ per mole of atoms. Its space group is P4/mmm, No. 123.

a b c (Å): 3.825 3.975 3.975
angles (deg): 90.00 90.00 90.00
Site moments in Bohr magnetons follow the coordinates.
Positions (direct):
V 0.500 0.500 0.500  1.94
Pt 0.000 0.500 0.000  0.11
Pt 0.000 0.000 0.500  0.11
Ga 0.500 0.000 0.000  0.00

---

Entry 5:
# CrP2Se

An optimized crystal structure of CrP2Se (PBE-GGA, the Alexandria database).

Output
The calculated total energy is -5.872 eV per atom. Its space group is R-3m, No. 166.

a b c (Å): 8.505 8.505 8.505
angles (deg): 19.88 19.88 19.88
Positions (direct):
P 0.020 0.020 0.020
P 0.480 0.480 0.480
Cr 0.750 0.750 0.750
Se 0.250 0.250 0.250

---

Entry 6:
# ZnIn2Se

An optimized crystal structure of ZnIn2Se (PBE-GGA, the Alexandria database).

Output
The calculated total energy is -2.595 eV per atom. Its space group is C2/m, No. 12.

a b c (Å): 6.518 5.133 3.932
angles (deg): 80.38 70.12 120.31
Positions (direct):
Zn 0.500 0.500 0.000
Se 0.000 0.500 0.500
In 0.000 0.000 0.000
In 0.500 0.000 0.500

---

Entry 7:
# Sn3SbSe2

An optimized crystal structure of Sn3SbSe2 (PBE-GGA, the Alexandria database).

Output
The calculated total energy is -4.116 eV per atom. Its space group is Pnma, No. 62.

a b c (Å): 6.012 8.828 13.024
angles (deg): 90.00 90.00 89.99
Positions (direct):
Se 0.250 0.885 0.415
Se 0.750 0.115 0.585
Se 0.750 0.127 0.247
Se 0.750 0.627 0.253
Se 0.250 0.385 0.085
Se 0.750 0.615 0.915
Se 0.250 0.373 0.747
Se 0.250 0.873 0.753
Sn 0.750 0.890 0.419
Sn 0.250 0.592 0.590
Sn 0.250 0.110 0.581
Sn 0.750 0.408 0.410
Sn 0.250 0.607 0.243
Sn 0.250 0.092 0.910
Sn 0.250 0.610 0.919
Sn 0.750 0.908 0.090
Sn 0.750 0.893 0.743
Sn 0.750 0.390 0.081
Sn 0.250 0.107 0.257
Sn 0.750 0.393 0.757
Sb 0.750 0.133 0.917
Sb 0.250 0.867 0.083
Sb 0.750 0.633 0.583
Sb 0.250 0.367 0.417

---

Entry 8:
# Tb2Pm5In

An optimized crystal structure of Tb2Pm5In (PBE-GGA, the Alexandria database).

Output
The calculated total energy is -4.505 eV per atom. For the formation energy from the elements, the calculation gives -3 kJ per mole of atoms. Its space group is Immm, No. 71.

a b c (Å): 3.483 11.233 8.800
angles (deg): 129.66 101.44 90.00
Positions (direct):
Pm 0.371 0.608 0.740
Pm 0.629 0.868 0.260
Pm 0.000 0.500 0.000
Pm 0.371 0.132 0.740
Pm 0.629 0.392 0.260
In 0.000 0.000 0.000
Tb 0.733 0.232 0.465
Tb 0.267 0.768 0.535

---

Entry 9:
# SnBiSe2

An optimized crystal structure of SnBiSe2 (PBE-GGA, the Alexandria database).

Output
The calculated total energy is -3.858 eV per atom. Its space group is Fm-3m, No. 225.

a b c (Å): 5.216 5.216 5.216
angles (deg): 60.00 60.00 60.00
Positions (direct):
Se 0.250 0.250 0.250
Se 0.750 0.750 0.750
Sn 0.000 0.000 0.000
Bi 0.500 0.500 0.500

---

Entry 10:
# Ac2LaPrP4

An optimized crystal structure of Ac2LaPrP4 (PBE-GGA, the Alexandria database).

Output
The calculated total energy is -6.440 eV per atom. For the formation energy from the elements, the calculation gives -144 kJ per mole of atoms. Its space group is P2/m, No. 10.

a b c (Å): 4.346 7.531 7.523
angles (deg): 70.58 90.00 90.00
Positions (direct):
Ac 0.000 0.000 0.000
Ac 0.500 0.000 0.500
P 0.500 0.739 0.253
P 0.000 0.739 0.755
P 0.500 0.261 0.747
P 0.000 0.261 0.245
La 0.000 0.500 0.500
Pr 0.500 0.500 0.000

---

Entry 11:
# Be2TeHF

An optimized crystal structure of Be2TeHF (PBE-GGA, the Alexandria database).

Output
The calculated total energy is -2.953 eV per atom. Its space group is P4/mmm, No. 123.

a b c (Å): 3.777 4.128 3.777
angles (deg): 90.00 90.00 90.00
Positions (direct):
Te 0.500 0.500 0.500
H 0.000 0.000 0.000
Be 0.000 0.000 0.500
Be 0.500 0.000 0.000
F 0.000 0.500 0.000

---

Entry 12:
# HfMnAs2Br

An optimized crystal structure of HfMnAs2Br (PBE-GGA, the Alexandria database).

Output
The calculated total energy is -5.787 eV per atom. Its space group is P4/mmm, No. 123.

a b c (Å): 5.186 5.186 5.196
angles (deg): 90.00 90.00 90.00
Site moments in Bohr magnetons follow the coordinates.
Positions (direct):
Br 0.000 0.000 0.500  0.03
Mn 0.500 0.500 0.500  4.54
As 0.500 0.000 0.000  -0.06
As 0.000 0.500 0.000  -0.06
Hf 0.000 0.000 0.000  0.04

---

Entry 13:
# Sr2CaAcIn4

An optimized crystal structure of Sr2CaAcIn4 (PBE-GGA, the Alexandria database).

Output
The calculated total energy is -2.979 eV per atom. For the formation energy from the elements, the calculation gives -41 kJ per mole of atoms. Its space group is R-3m, No. 166.

a b c (Å): 5.706 5.706 9.915
angles (deg): 73.28 73.28 60.00
Positions (direct):
In 0.874 0.874 0.378
In 0.623 0.623 0.130
In 0.126 0.126 0.622
In 0.377 0.377 0.870
Ac 0.000 0.000 0.000
Sr 0.752 0.752 0.743
Sr 0.248 0.248 0.257
Ca 0.500 0.500 0.500

---

Entry 14:
# CeY3Ho5

An optimized crystal structure of CeY3Ho5 (PBE-GGA, the Alexandria database).

Output
The calculated total energy is -5.062 eV per atom. For the formation energy from the elements, the calculation gives 28 kJ per mole of atoms. Its space group is I4/mcm, No. 140.

a b c (Å): 8.576 8.576 9.815
angles (deg): 115.90 115.90 90.00
Site moments in Bohr magnetons follow the coordinates.
Positions (direct):
Ce 0.750 0.250 0.500  0.68
Ce 0.250 0.750 0.500  0.68
Y 0.377 0.877 0.000  0.00
Y 0.123 0.377 0.000  0.00
Y 0.623 0.123 0.000  0.00
Y 0.877 0.623 0.000  0.00
Y 0.750 0.750 0.500  0.02
Y 0.250 0.250 0.500  0.02
Ho 0.337 0.837 0.281  0.07
Ho 0.500 0.500 0.000  0.01
Ho 0.444 0.337 0.281  0.07
Ho 0.837 0.944 0.281  0.07
Ho 0.663 0.163 0.719  0.07
Ho 0.163 0.056 0.719  0.07
Ho 0.000 0.000 0.000  0.01
Ho 0.556 0.663 0.719  0.07
Ho 0.056 0.556 0.719  0.07
Ho 0.944 0.444 0.281  0.07

---

Entry 15:
# Cr3SnRh

An optimized crystal structure of Cr3SnRh (PBE-GGA, the Alexandria database).

Output
The calculated total energy is -7.021 eV per atom. For the formation energy from the elements, the calculation gives 99 kJ per mole of atoms. Its space group is Pm-3m, No. 221.

a b c (Å): 4.733 4.733 4.733
angles (deg): 90.00 90.00 90.00
Site moments in Bohr magnetons follow the coordinates.
Positions (direct):
Cr 0.000 0.500 0.000  3.29
Cr 0.500 0.000 0.000  3.64
Cr 0.000 0.000 0.500  3.04
Sn 0.500 0.500 0.500  -0.21
Rh 0.000 0.000 0.000  -0.20

---

Entry 16:
# PrBe2

An optimized crystal structure of PrBe2 (PBE-GGA, the Alexandria database).

Output
The calculated total energy is -3.857 eV per atom. For the formation energy from the elements, the calculation gives 21 kJ per mole of atoms. Its space group is Fd-3m, No. 227.

a b c (Å): 5.200 5.200 5.200
angles (deg): 60.00 60.00 60.00
Positions (direct):
Pr 0.000 0.000 0.000
Pr 0.250 0.250 0.250
Be 0.625 0.125 0.625
Be 0.125 0.625 0.625
Be 0.625 0.625 0.125
Be 0.625 0.625 0.625

---

Entry 17:
# TcHg3Se

An optimized crystal structure of TcHg3Se (PBE-GGA, the Alexandria database).

Output
The calculated total energy is -1.732 eV per atom. Its space group is Pm-3m, No. 221.

a b c (Å): 5.427 5.427 5.427
angles (deg): 90.00 90.00 90.00
Site moments in Bohr magnetons follow the coordinates.
Positions (direct):
Tc 0.500 0.500 0.500  3.74
Hg 0.000 0.000 0.500  0.03
Hg 0.500 0.000 0.000  -0.01
Hg 0.000 0.500 0.000  0.00
Se 0.000 0.000 0.000  0.02

---

Entry 18:
# LaPm2Tl2Zn2

An optimized crystal structure of LaPm2Tl2Zn2 (PBE-GGA, the Alexandria database).

Output
The calculated total energy is -3.318 eV per atom. For the formation energy from the elements, the calculation gives -21 kJ per mole of atoms. Its space group is R-3m, No. 166.

a b c (Å): 4.828 4.828 9.852
angles (deg): 75.82 75.82 60.00
Positions (direct):
Pm 0.130 0.130 0.609
Pm 0.870 0.870 0.391
Tl 0.735 0.735 0.794
Tl 0.265 0.265 0.206
Zn 0.417 0.417 0.748
Zn 0.583 0.583 0.252
La 0.000 0.000 0.000

---

Entry 19:
# Hf2PaFe

An optimized crystal structure of Hf2PaFe (PBE-GGA, the Alexandria database).

Output
The calculated total energy is -9.247 eV per atom. For the formation energy from the elements, the calculation gives 21 kJ per mole of atoms. Its space group is Amm2, No. 38.

a b c (Å): 3.417 5.311 5.466
angles (deg): 119.07 90.00 90.00
Positions (direct):
Pa 0.000 0.574 0.147
Fe 0.500 0.737 0.475
Hf 0.500 0.256 0.511
Hf 0.000 0.928 0.856

---

Entry 20:
# NaAsPdBr2

An optimized crystal structure of NaAsPdBr2 (PBE-GGA, the Alexandria database).

Output
The calculated total energy is -3.195 eV per atom. Its space group is P4/mmm, No. 123.

a b c (Å): 5.516 5.516 4.700
angles (deg): 90.00 90.00 90.00
Site moments in Bohr magnetons follow the coordinates.
Positions (direct):
As 0.000 0.000 0.500  0.25
Pd 0.000 0.000 0.000  0.02
Br 0.000 0.500 0.000  0.04
Br 0.500 0.000 0.000  0.04
Na 0.500 0.500 0.500  0.00

---

Entry 21:
# YZrS3

An optimized crystal structure of YZrS3 (PBE-GGA, the Alexandria database).

Output
The calculated total energy is -7.211 eV per atom. Its space group is P-6c2, No. 188.

a b c (Å): 6.563 6.627 6.627
angles (deg): 120.00 90.00 90.00
Positions (direct):
S 0.250 0.347 0.035
S 0.750 0.965 0.653
S 0.250 0.688 0.653
S 0.250 0.965 0.312
S 0.750 0.347 0.312
S 0.750 0.688 0.035
Y 0.500 0.000 0.000
Y 0.000 0.000 0.000
Zr 0.000 0.667 0.333
Zr 0.500 0.667 0.333

---

Entry 22:
# Ba6IrRh2Br3

An optimized crystal structure of Ba6IrRh2Br3 (PBE-GGA, the Alexandria database).

Output
The calculated total energy is -4.242 eV per atom. Its space group is C2/m, No. 12.

a b c (Å): 7.914 7.914 8.492
angles (deg): 98.93 98.93 120.00
Positions (direct):
Ba 0.070 0.402 0.209
Ba 0.738 0.738 0.209
Ba 0.930 0.598 0.791
Ba 0.262 0.262 0.791
Ba 0.402 0.070 0.209
Ba 0.598 0.930 0.791
Rh 0.333 0.667 0.000
Rh 0.667 0.333 0.000
Br 0.833 0.167 0.500
Br 0.500 0.500 0.500
Br 0.167 0.833 0.500
Ir 0.000 0.000 0.000

---

Entry 23:
# Bi2Pt

An optimized crystal structure of Bi2Pt (PBE-GGA, the Alexandria database).

Output
The calculated total energy is -4.839 eV per atom. For the formation energy from the elements, the calculation gives -23 kJ per mole of atoms. Its space group is P31m, No. 157.

a b c (Å): 6.688 6.688 6.283
angles (deg): 90.00 90.00 120.00
Positions (direct):
Bi 0.391 0.391 0.730
Bi 0.333 0.667 0.214
Bi 0.609 0.000 0.730
Bi 0.000 0.000 0.341
Bi 0.667 0.333 0.214
Bi 0.000 0.609 0.730
Pt 0.000 0.263 0.000
Pt 0.263 0.000 0.000
Pt 0.737 0.737 0.000

---

Entry 24:
# YTiBe2

An optimized crystal structure of YTiBe2 (PBE-GGA, the Alexandria database).

Output
The calculated total energy is -5.437 eV per atom. For the formation energy from the elements, the calculation gives 2 kJ per mole of atoms. Its space group is P4/mmm, No. 123.

a b c (Å): 3.179 3.179 6.304
angles (deg): 90.00 90.00 90.00
Positions (direct):
Be 0.000 0.000 0.808
Be 0.000 0.000 0.192
Ti 0.500 0.500 0.000
Y 0.500 0.500 0.500

---

Entry 25:
# Zr3Pt

An optimized crystal structure of Zr3Pt (PBE-GGA, the Alexandria database).

Output
The calculated total energy is -8.321 eV per atom. For the formation energy from the elements, the calculation gives -39 kJ per mole of atoms. Its space group is Fm-3m, No. 225.

a b c (Å): 4.828 4.828 4.828
angles (deg): 60.00 60.00 60.00
Site moments in Bohr magnetons follow the coordinates.
Positions (direct):
Zr 0.250 0.250 0.250  0.03
Zr 0.750 0.750 0.750  0.03
Zr 0.500 0.500 0.500  0.09
Pt 0.000 0.000 0.000  0.01